An optimized crystal structure of YCoF5. Source: the Alexandria database, functional GGA+U.

Calculated values
Energy relative to the lowest polymorph listed for this composition ... 0.0000 eV/atom
Calculated density ... 3.8 g/cm3

Cell: 9.066 6.737 7.600 Å, 90.00 114.30 90.00°
Space group C2/c (No. 15)
Unique sites:
1 Y 0.000 0.053 0.250 [4 per cell]
2 Co 0.000 0.500 0.000 [4 per cell]
3 F 0.000 0.388 0.250 [4 per cell]
4 F 0.010 0.186 0.965 [8 per cell]
5 F 0.240 0.474 0.625 [8 per cell]